VSiGe at its PBEsol-relaxed geometry, computed with meta-GGA SCAN.

a b c (Å): 4.6290 4.6290 6.4354
angles (deg): 90.00 90.00 120.00
Closest atoms and distances in Å follow each position.
Space group P3_212 (No. 153)
Inequivalent atoms, fractional coordinates:
1 V 0.0050 0.5025 0.0000  5 Si 2.53-2.67, 5 Ge 2.54-2.71
2 Si 0.1647 0.3293 0.3333  5 Ge 2.52-2.69, 5 V 2.53-2.67
3 Ge 0.3299 0.1650 0.0000  5 Si 2.52-2.69, 5 V 2.54-2.71

Formation energy from raw total energies, eV/atom: -0.29
V, Å³ per cell: 119.4
Crystal system: trigonal
Fermi-level density of states, states/eV/cell: 5.30
Mass density, Mg/m³: 6.327

---

SrGaPbSe2 at its PBEsol-relaxed geometry, computed with meta-GGA SCAN.

a b c (Å): 5.5361 5.5361 5.9122
angles (deg): 90.00 90.00 90.00
Closest atoms and distances in Å follow each position.
Space group P4/mmm (No. 123)
Inequivalent atoms, fractional coordinates:
1 Sr 0.0000 0.0000 0.0000  2 Pb 2.96
2 Ga 0.5000 0.5000 0.0000  4 Sr 3.91, 8 Se 4.05
3 Pb 0.0000 0.0000 0.5000  4 Se 2.77, 2 Sr 2.96
4 Se 0.0000 0.5000 0.5000  2 Pb 2.77

Formation energy from raw total energies, eV/atom: 0.17
V, Å³ per cell: 181.2
Crystal system: tetragonal
Fermi-level density of states, states/eV/cell: 3.51
Mass density, Mg/m³: 4.788

---

TeRu2Se at its PBEsol-relaxed geometry, computed with meta-GGA SCAN.

a b c (Å): 7.9848 3.1186 5.4151
angles (deg): 90.00 102.92 90.00
Closest atoms and distances in Å follow each position.
Space group C2/m (No. 12)
Inequivalent atoms, fractional coordinates:
1 Te 0.0000 0.0000 0.0000  6 Ru 2.72-2.74
2 Ru 0.2478 0.0000 0.7229  3 Se 2.57-2.60, 3 Te 2.72-2.74
3 Se 0.0000 0.5000 0.5000  6 Ru 2.57-2.60

Formation energy from raw total energies, eV/atom: 0.28
V, Å³ per cell: 131.4
Crystal system: monoclinic
ΔE to the lowest computed polymorph, eV per atom: 0.189
Fermi-level density of states, states/eV/cell: 6.30
Mass density, Mg/m³: 10.327